VASP calculation (GGA-PBEsol) on a relaxed Re2AsSe crystal.

Geometry as CIF:
```
data_Re2AsSe
_chemical_formula_sum 'Re2 As1 Se1'
_symmetry_space_group_name_H-M 'P 4 m m'
_symmetry_Int_Tables_number 99
_cell_length_a 2.919
_cell_length_b 2.919
_cell_length_c 7.912
_cell_angle_alpha 90.00
_cell_angle_beta 90.00
_cell_angle_gamma 90.00
loop_
_symmetry_equiv_pos_as_xyz
'x,y,z'
'-y,x,z'
'-x,-y,z'
'y,-x,z'
'-x,y,z'
'y,x,z'
'x,-y,z'
'-y,-x,z'
loop_
_atom_site_label
_atom_site_type_symbol
_atom_site_fract_x
_atom_site_fract_y
_atom_site_fract_z
Re1 Re 0.000 0.000 0.000
Re2 Re 0.500 0.500 0.230
As1 As 0.500 0.500 0.795
Se1 Se 0.000 0.000 0.426
```

## Properties
Volume, Å³ per cell: 67.4
Energy relative to the elements, uncorrected, eV per atom: 0.0468
Density of states at the Fermi level, states/eV/f.u.: 2.2
Polymorph energy (0 for the lowest one), eV/atom: 0.0000